The following is a PBE with a Hubbard U calculation of an optimized crystal structure of BaSr4Fe5O15, from the Alexandria database.

Cell: 5.5748 27.8463 3.9395 Å, 90.00 90.00 90.00°
Space group Cmmm (No. 65)
Inequivalent atoms, fractional coordinates:
Ba 0.0000 0.0000 0.0000 (multiplicity 2)
Sr 0.0000 0.2004 0.0000 (multiplicity 4)
Sr 0.0000 0.3992 0.0000 (multiplicity 4)
Fe 0.0000 0.1014 0.5000 (multiplicity 4)
Fe 0.0000 0.2996 0.5000 (multiplicity 4)
Fe 0.0000 0.5000 0.5000 (multiplicity 2)
O 0.0000 0.1030 0.0000 (multiplicity 4)
O 0.0000 0.2995 0.0000 (multiplicity 4)
O 0.0000 0.5000 0.0000 (multiplicity 2)
O 0.2447 0.4478 0.5000 (multiplicity 8)
O 0.2501 0.1512 0.5000 (multiplicity 8)
O 0.2500 0.2500 0.5000 (multiplicity 4)

Calculated values
VASP energy	-6.348	eV/atom
total moment	43.2	Bohr magnetons per cell